# CaAgPt2

A relaxed CaAgPt2 crystal (PBE, the Alexandria database).

* calculated formation energy: -0.46 eV per atom
* space group: No. 139
* E: -0.172 Ha/atom
* DOS(E_F): 1.636 states/eV/f.u.

a b c (Å): 5.1447 5.1447 5.1447
angles (deg): 132.23 132.23 69.86
Fractional positions:
Pt1 0.0000 0.0000 0.0000
Ag1 0.2500 0.7500 0.5000
Ca1 0.7500 0.2500 0.5000
Pt2 0.5000 0.5000 0.0000

# CaAgPt

A relaxed CaAgPt crystal (PBE, the Alexandria database).

* calculated formation energy: -0.46 eV per atom
* space group: No. 187
* E: -0.150 Ha/atom
* DOS(E_F): 1.114 states/eV/f.u.

a b c (Å): 4.7318 4.7318 3.2264
angles (deg): 90.00 90.00 120.00
Fractional positions:
Ca1 0.3333 0.6667 0.3333
Ag1 0.0000 0.0000 0.8342
Pt1 0.6667 0.3333 0.8325

# CaAgPt2

A relaxed CaAgPt2 crystal (PBE, the Alexandria database).

* calculated formation energy: -0.32 eV per atom
* space group: No. 25
* E: -0.167 Ha/atom
* DOS(E_F): 1.586 states/eV/f.u.

a b c (Å): 2.9103 4.3220 5.8143
angles (deg): 90.00 90.00 90.00
Fractional positions:
Pt1 0.0000 0.0000 0.0039
Ag1 0.0000 0.0000 0.4787
Ca1 0.5000 0.5000 0.7623
Pt2 0.5000 0.5000 0.2552

# Ca3AgPt8

A relaxed Ca3AgPt8 crystal (PBE, the Alexandria database).

* calculated formation energy: -0.76 eV per atom
* space group: No. 160
* E: -0.203 Ha/atom
* DOS(E_F): 8.128 states/eV/f.u.

a b c (Å): 5.4203 5.4203 9.3545
angles (deg): 73.16 73.16 60.00
Fractional positions:
Pt1 0.4384 0.9378 0.6859
Pt2 0.9378 0.4384 0.6859
Pt3 0.4375 0.9379 0.1871
Ca1 0.9941 0.9941 0.0176
Ag1 0.8728 0.8728 0.3816
Ca2 0.5044 0.5044 0.4867
Pt4 0.9379 0.4375 0.1871
Pt5 0.4375 0.4375 0.1871
Ca3 0.3760 0.3760 0.8721
Pt6 0.6878 0.6878 0.9367
Pt7 0.9378 0.9378 0.6859
Pt8 0.1879 0.1879 0.4363

# CaAgPt

A relaxed CaAgPt crystal (PBE, the Alexandria database).

* calculated formation energy: -0.39 eV per atom
* space group: No. 216
* E: -0.148 Ha/atom
* DOS(E_F): 2.547 states/eV/f.u.

a b c (Å): 4.6820 4.6820 4.6820
angles (deg): 60.00 60.00 60.00
Fractional positions:
Ag1 0.0000 0.0000 0.0000
Ca1 0.5000 0.5000 0.5000
Pt1 0.7500 0.7500 0.7500

# CaAgPt2

A relaxed CaAgPt2 crystal (PBE, the Alexandria database).

* calculated formation energy: -0.39 eV per atom
* space group: No. 10
* E: -0.170 Ha/atom
* DOS(E_F): 1.534 states/eV/f.u.

a b c (Å): 4.1474 2.9880 6.6513
angles (deg): 62.93 90.00 90.00
Fractional positions:
Pt1 0.0000 0.5133 0.4872
Ag1 0.5000 0.2500 0.2500
Pt2 0.0000 0.9867 0.0128
Ca1 0.5000 0.7500 0.7500